The following is a GGA-PBE calculation of a geometry-optimized TiNb2Zn2Rh5 structure, from the Alexandria database.

Computed properties:
Magnetic moment in μB per cell: 0.0
Total energy in eV per atom: -7.040

The structure in POSCAR format:
```
TiNb2Zn2Rh5
1.0
-1.494 0.382 2.571
-8.798 -1.862 -4.835
0.980 -9.954 2.049
Ti Nb Zn Rh
2 4 4 10
Direct
0.000 0.000 0.000 Ti
0.000 0.500 0.500 Ti
0.000 0.667 0.167 Nb
0.000 0.333 0.833 Nb
0.000 0.167 0.333 Nb
0.000 0.833 0.667 Nb
0.000 0.144 0.644 Zn
0.000 0.856 0.356 Zn
0.000 0.644 0.856 Zn
0.000 0.356 0.144 Zn
0.500 0.205 0.014 Rh
0.500 0.795 0.986 Rh
0.500 0.014 0.795 Rh
0.500 0.705 0.486 Rh
0.500 0.986 0.205 Rh
0.500 0.295 0.514 Rh
0.500 0.514 0.705 Rh
0.500 0.486 0.295 Rh
0.500 0.500 0.000 Rh
0.500 0.000 0.500 Rh
```